Arrangement one

Computed, not measured: a relaxed structure of Cr3ReCl at the GGA-PBE level of DFT.

The calculation puts the mass density at 5.66 g cm⁻³.

```
data_Cr3ReCl
_cell_length_a 4.8022
_cell_length_b 4.8022
_cell_length_c 4.8022
_cell_angle_alpha 90.00
_cell_angle_beta 90.00
_cell_angle_gamma 90.00
_space_group_name_H-M_alt 'P m -3 m'
_space_group_IT_number 221
_space_group_name_Hall '-P 4 2 3'
loop_
_atom_site_label
_atom_site_fract_x
_atom_site_fract_y
_atom_site_fract_z
Cr1 0.0000 0.0000 0.5000
Re1 0.0000 0.0000 0.0000
Cl1 0.5000 0.5000 0.5000
```

---

Arrangement two

Computed, not measured: a relaxed structure of Cr3ReCl at the GGA-PBE level of DFT.

The calculation puts the mass density at 9.21 g cm⁻³.

```
data_Cr3ReCl
_cell_length_a 4.0835
_cell_length_b 4.0835
_cell_length_c 4.0835
_cell_angle_alpha 90.00
_cell_angle_beta 90.00
_cell_angle_gamma 90.00
_space_group_name_H-M_alt 'P m -3 m'
_space_group_IT_number 221
_space_group_name_Hall '-P 4 2 3'
loop_
_atom_site_label
_atom_site_fract_x
_atom_site_fract_y
_atom_site_fract_z
Cr1 0.0000 0.0000 0.5000
Re1 0.5000 0.5000 0.5000
Cl1 0.0000 0.0000 0.0000
```

---

Least stable of them? arrangement one.